Model A:
The following is a DFT calculation (PBE-GGA) of crystalline Mo2Os at its relaxed geometry.

Results
M_tot (μB per cell): 0.00
Density (g/cm3): 13.49
Symmetry: Fd-3m
Fermi-level density of states (states/eV per cell): 2.683

```
Mo2Os
1.0
-4.287 0.649 2.695
-2.791 4.229 -0.622
-4.539 -0.256 -2.324
Mo Os
4 2
Cartesian
-7.261 2.889 -0.157
-5.117 2.565 -1.504
-5.865 0.774 0.154
-4.991 3.017 1.005
0.000 0.000 0.000
-2.904 1.156 -0.063
```



Model B:
The following is a DFT calculation (PBE-GGA) of crystalline Mo2Os at its relaxed geometry.

Results
M_tot (μB per cell): 0.00
Density (g/cm3): 13.66
Symmetry: I4/mmm
Fermi-level density of states (states/eV per cell): 1.800

```
Mo2Os
1.0
6.388 -0.009 0.000
5.197 3.714 0.000
-5.793 -1.853 1.954
Mo Os
2 1
Cartesian
11.490 3.675 0.000
7.819 2.501 0.000
3.862 1.235 0.000
```



Pick model B: it beats the second-best structure by 26.4 kJ/mol of atoms.



Model A:
The following is a DFT calculation (PBE-GGA) of crystalline Mo2Os at its relaxed geometry.

Results
M_tot (μB per cell): 0.00
Density (g/cm3): 13.67
Symmetry: C2/m
Fermi-level density of states (states/eV per cell): 5.217

```
Mo2Os
1.0
-3.968 -1.718 -3.217
-1.993 -3.687 -3.388
-3.692 -4.028 3.763
Mo Os
4 2
Cartesian
-4.297 -4.487 2.054
-5.356 -4.946 -4.896
-2.510 -2.592 0.877
-7.144 -6.841 -3.719
-3.854 -3.627 -2.734
-5.800 -5.806 -0.109
```



Model B:
The following is a DFT calculation (PBE-GGA) of crystalline Mo2Os at its relaxed geometry.

Results
M_tot (μB per cell): 0.00
Density (g/cm3): 12.82
Symmetry: P-62m
Fermi-level density of states (states/eV per cell): 12.487

```
Mo2Os
1.0
3.257 -5.641 0.000
3.257 5.641 0.000
0.000 0.000 4.041
Mo Os
6 3
Cartesian
0.828 1.434 0.000
1.917 3.320 2.021
0.828 -1.434 0.000
4.857 0.000 0.000
1.917 -3.320 2.021
2.679 0.000 2.021
0.000 0.000 2.021
3.257 1.880 0.000
3.257 -1.880 0.000
```



Model C:
The following is a DFT calculation (PBE-GGA) of crystalline Mo2Os at its relaxed geometry.

Results
M_tot (μB per cell): 0.00
Density (g/cm3): 13.64
Symmetry: P4_2/mnm
Fermi-level density of states (states/eV per cell): 25.320

```
Mo2Os
1.0
-3.274 -5.183 7.502
-7.153 -3.484 -5.528
2.893 -3.789 -1.355
Mo Os
20 10
Cartesian
-5.621 -4.155 -0.384
-4.805 -4.512 2.358
-7.883 -9.650 1.089
0.350 -2.806 -0.470
-4.273 -2.549 -1.995
-6.154 -6.118 3.969
-6.212 -9.078 3.058
-1.321 -3.378 -2.439
-0.034 -3.942 1.888
-7.500 -8.514 -1.269
-2.692 -3.241 3.314
-7.734 -5.426 -1.340
-2.622 -3.721 0.296
-6.365 -6.832 1.004
-4.290 -6.626 -4.204
-1.804 -7.715 4.149
-5.730 -4.741 -3.530
-3.243 -5.830 4.823
-1.168 -5.624 -0.385
-4.911 -8.736 0.323
0.000 0.000 0.000
-3.767 -6.228 0.309
-2.108 -1.274 -0.939
-8.319 -7.393 2.913
-3.397 -5.104 -2.045
-4.136 -7.352 2.664
-5.424 -6.788 -1.662
-2.109 -5.668 2.281
-1.354 -1.604 1.594
-9.073 -7.063 0.380
```



Pick model C: it beats the second-best structure by 15.5 kJ/mol of atoms.